# 1
This record from Alexandria via LeMat-Bulk describes a geometry-optimized Sr3Mg2Hg4 structure. The functional is PBE.

abc: 4.849 6.886 9.633
angles: 113.56 90.00 110.61
Positions (direct):
Hg1 0.919 0.838 0.590
Hg2 0.081 0.162 0.410
Hg3 0.283 0.567 0.925
Hg4 0.717 0.433 0.075
Sr1 0.000 0.000 0.000
Sr2 0.371 0.742 0.303
Sr3 0.629 0.258 0.697
Mg1 0.674 0.347 0.349
Mg2 0.326 0.653 0.651

Results
Calculated formation energy ... -0.42 eV/atom
E_tot ... -1.469 eV per atom
Spin magnetization ... 0.000 μB per cell

***

# 2
This record from Alexandria via LeMat-Bulk describes a geometry-optimized Sr2Mg6Hg9 structure. The functional is PBE.

abc: 6.406 6.406 13.409
angles: 90.00 90.00 120.00
Positions (direct):
Mg1 0.667 0.333 0.337
Mg2 0.667 0.333 0.000
Mg3 0.333 0.667 0.337
Mg4 0.333 0.667 0.663
Mg5 0.333 0.667 0.000
Mg6 0.667 0.333 0.663
Sr1 0.000 0.000 0.338
Sr2 0.000 0.000 0.662
Hg1 0.500 0.500 0.500
Hg2 0.000 0.500 0.832
Hg3 0.500 0.500 0.832
Hg4 0.500 0.000 0.832
Hg5 0.000 0.500 0.500
Hg6 0.500 0.000 0.168
Hg7 0.000 0.500 0.168
Hg8 0.500 0.000 0.500
Hg9 0.500 0.500 0.168

Results
Calculated formation energy ... -0.18 eV/atom
E_tot ... -1.099 eV per atom
Spin magnetization ... 0.000 μB per cell

***

# 3
This record from Alexandria via LeMat-Bulk describes a geometry-optimized SrMg2Hg3 structure. The functional is PBE.

abc: 6.411 7.150 7.150
angles: 104.23 90.00 90.00
Positions (direct):
Mg1 0.500 0.789 0.211
Mg2 0.500 0.211 0.789
Mg3 0.000 0.789 0.211
Mg4 0.000 0.211 0.789
Hg1 0.750 0.458 0.144
Hg2 0.250 0.542 0.856
Hg3 0.750 0.034 0.034
Hg4 0.250 0.966 0.966
Hg5 0.250 0.856 0.542
Hg6 0.750 0.144 0.458
Sr1 0.250 0.340 0.340
Sr2 0.750 0.660 0.660

Results
Calculated formation energy ... -0.32 eV/atom
Energy relative to the lowest polymorph listed for this composition ... 0.000 eV/atom
E_tot ... -1.286 eV per atom
Spin magnetization ... 0.000 μB per cell

***

# 4
This record from Alexandria via LeMat-Bulk describes a geometry-optimized Sr3Mg9Hg2 structure. The functional is PBE.

abc: 4.993 9.424 9.424
angles: 71.09 74.64 74.64
Positions (direct):
Mg1 0.327 0.318 0.029
Mg2 0.000 0.500 0.500
Mg3 0.673 0.682 0.971
Mg4 0.881 0.839 0.399
Mg5 0.119 0.601 0.161
Mg6 0.673 0.971 0.682
Mg7 0.327 0.029 0.318
Mg8 0.119 0.161 0.601
Mg9 0.881 0.399 0.839
Hg1 0.500 0.287 0.713
Hg2 0.500 0.713 0.287
Sr1 0.312 0.688 0.688
Sr2 0.000 0.000 0.000
Sr3 0.688 0.312 0.312

Results
Calculated formation energy ... -0.12 eV/atom
E_tot ... -1.553 eV per atom
Spin magnetization ... 0.000 μB per cell

***

Number 1: theoretical density 6.8 g cm⁻³. Number 2: theoretical density 7.4 g cm⁻³. Number 3: theoretical density 7.7 g cm⁻³. Number 4: theoretical density 3.7 g cm⁻³.